The following is a DFT calculation (PBE+U) of RbVO2F after structural relaxation.

abc: 4.348 4.348 4.761
angles: 90.00 90.00 90.00
Space group P4/mmm (No. 123)
Symmetry-distinct sites (fractional):
Rb  0.000  0.000  0.000 [1 per cell]
V  0.500  0.500  0.500 [1 per cell]
O  0.000  0.500  0.000 [2 per cell]
F  0.000  0.000  0.500 [1 per cell]

Calculated values
Its theoretical density is 3.46 Mg/m³. The calculation puts the uncorrected energy at -16.9 eV/f.u. Its density of states at the Fermi level is 9.7 states/eV per cell. The value obtained for the size of the total moment is 1.3 μB per formula unit.